Entry 1:
A plane-wave DFT calculation with GGA-PBE was carried out for a relaxed structure of LiNb2Co.

a b c (Å): 6.1876 6.1876 6.1876
angles (deg): 90.00 90.00 90.00
Space group F-43m (No. 216)
Unique sites:
Li 0.0000 0.0000 0.0000 (multiplicity 4)
Nb 0.0000 0.0000 0.5000 (multiplicity 4)
Nb 0.2500 0.2500 0.7500 (multiplicity 4)
Co 0.2500 0.2500 0.2500 (multiplicity 4)

Computed properties:
The size of the total moment comes out at 1.98 μB per formula unit.

=====

Entry 2:
A plane-wave DFT calculation with GGA-PBE was carried out for a relaxed structure of Li2NbCo.

a b c (Å): 5.9371 5.9371 5.9371
angles (deg): 90.00 90.00 90.00
Space group F-43m (No. 216)
Unique sites:
Li 0.0000 0.0000 0.0000 (multiplicity 4)
Li 0.2500 0.2500 0.2500 (multiplicity 4)
Nb 0.0000 0.0000 0.5000 (multiplicity 4)
Co 0.2500 0.2500 0.7500 (multiplicity 4)

Computed properties:
The size of the total moment comes out at 0.02 μB per formula unit.

=====

Entry 3:
A plane-wave DFT calculation with GGA-PBE was carried out for a relaxed structure of LiNbCo.

a b c (Å): 5.4712 5.4712 5.4712
angles (deg): 90.00 90.00 90.00
Space group F-43m (No. 216)
Unique sites:
Li 0.0000 0.0000 0.0000 (multiplicity 4)
Nb 0.2500 0.2500 0.2500 (multiplicity 4)
Co 0.2500 0.2500 0.7500 (multiplicity 4)

Computed properties:
The size of the total moment comes out at 0.01 μB per formula unit.

=====

Final energy (computed, eV for the cell shown): -110.3 -79.7 -65.7